A plane-wave DFT calculation with PBE-GGA was carried out for La8Sm5Pu after structural relaxation.

Cell: 9.064 8.894 9.064 Å, 87.23 123.11 120.72°
Last column: magnetic moment on the atom in μB.
Sites, in units of the cell vectors:
La 0.354 0.320 0.428  0.02
La 0.501 0.935 0.918  -0.09
La 0.514 0.625 0.214  -0.05
La 0.590 0.375 0.890  -0.05
La 0.883 0.545 0.576  -0.05
La 0.030 0.455 0.338  -0.05
La 0.108 0.680 0.035  0.02
La 0.983 0.065 0.566  -0.09
Sm 0.971 0.236 0.933  -0.02
Sm 0.369 0.156 0.108  0.03
Sm 0.499 0.000 0.499  0.04
Sm 0.952 0.844 0.213  0.03
Sm 0.697 0.764 0.735  -0.02
Pu 0.299 0.500 0.799  -5.65

Computed properties:
energy relative to the elements: 167 meV per atom
calculated total energy: -5.357 eV per atom
magnetic moment: 0.46 μB per atom